*one*
# Ac2Sn6Ir PBE relaxed
# - space-group type = Amm2 (38)
# - density (g cm⁻³) = 8.57
# - calculated volume (Å³/cell) = 263.1
# - crystal system = orthorhombic
data_Ac2Sn6Ir
_symmetry_space_group_name_H-M 'P 1'
_symmetry_Int_Tables_number 1
_cell_length_a 4.5521
_cell_length_b 4.6369
_cell_length_c 12.6704
_cell_angle_alpha 90.00
_cell_angle_beta 100.35
_cell_angle_gamma 90.00
loop_
_symmetry_equiv_pos_as_xyz
'x,y,z'
loop_
_atom_site_label
_atom_site_type_symbol
_atom_site_fract_x
_atom_site_fract_y
_atom_site_fract_z
Ac1 Ac 0.3285 0.0000 0.6570
Ac2 Ac 0.9952 0.0000 0.9904
Sn1 Sn 0.7180 0.0000 0.4360
Sn2 Sn 0.2166 0.5000 0.4331
Sn3 Sn 0.1002 0.5000 0.2005
Sn4 Sn 0.6021 0.0000 0.2042
Sn5 Sn 0.4535 0.5000 0.9070
Sn6 Sn 0.8802 0.5000 0.7604
Ir1 Ir 0.7748 0.5000 0.5495

=====

*two*
# Ac2Sn6Ir PBE relaxed
# - space-group type = C2/m (12)
# - density (g cm⁻³) = 9.21
# - calculated volume (Å³/cell) = 245.0
# - crystal system = monoclinic
data_Ac2Sn6Ir
_symmetry_space_group_name_H-M 'P 1'
_symmetry_Int_Tables_number 1
_cell_length_a 5.9633
_cell_length_b 6.8886
_cell_length_c 6.8886
_cell_angle_alpha 59.99
_cell_angle_beta 90.03
_cell_angle_gamma 90.03
loop_
_symmetry_equiv_pos_as_xyz
'x,y,z'
loop_
_atom_site_label
_atom_site_type_symbol
_atom_site_fract_x
_atom_site_fract_y
_atom_site_fract_z
Ac1 Ac 0.8060 0.6673 0.6673
Ac2 Ac 0.1940 0.3327 0.3327
Sn1 Sn 0.2979 0.3484 0.8255
Sn2 Sn 0.2979 0.8263 0.8263
Sn3 Sn 0.2979 0.8255 0.3484
Sn4 Sn 0.7021 0.6516 0.1745
Sn5 Sn 0.7021 0.1737 0.1737
Sn6 Sn 0.7021 0.1745 0.6516
Ir1 Ir 0.0000 0.0000 0.0000

=====

In eV/atom, relative to the most stable structure: *one* 0.009; *two* 0.000.